Entry 1:
NaScGe: optimized geometry, PBE-GGA.

a = 9.8884 Å, b = 4.1331 Å, c = 7.8503 Å
α = 90.00°, β = 117.64°, γ = 90.00°
With the nearest neighbours (Å) after each atom.
Space group C2/m (No. 12)
Asymmetric unit:
Na  0.1702  0.0000  0.0735  3 Ge 2.97-3.18, 3 Na 3.01-3.13
Sc  0.0928  0.5000  0.3877  5 Ge 2.81-2.96, 1 Sc 3.08
Ge  0.1341  0.0000  0.6499  1 Ge 2.60, 3 Sc 2.81-2.85

- ΔE_f: -6.89 kcal/mol of atoms

=====

Entry 2:
NaScGe: optimized geometry, PBE-GGA.

a = 4.7955 Å, b = 11.8871 Å, c = 4.8302 Å
α = 90.00°, β = 90.00°, γ = 90.00°
With the nearest neighbours (Å) after each atom.
Space group Cmmm (No. 65)
Asymmetric unit:
Na  0.0000  0.1590  0.0000  4 Ge 3.05-3.07, 2 Na 3.23
Sc  0.0000  0.3760  0.5000  4 Ge 2.81-2.83, 1 Sc 2.95
Ge  0.0000  0.0000  0.5000  4 Sc 2.81, 4 Na 3.07
Ge  0.0000  0.5000  0.0000  4 Sc 2.83, 4 Na 3.05

- ΔE_f: -2.74 kcal/mol of atoms

=====

Entry 3:
NaScGe: optimized geometry, PBE-GGA.

a = 6.5653 Å, b = 8.6379 Å, c = 5.9399 Å
α = 90.00°, β = 106.04°, γ = 90.00°
With the nearest neighbours (Å) after each atom.
Space group Cm (No. 8)
Asymmetric unit:
Na  0.0000  0.0000  0.0000  3 Ge 2.98-3.06, 2 Na 3.26-3.31
Na  0.0025  0.5000  0.9951  3 Ge 3.01-3.33, 2 Na 3.26-3.31
Sc  0.3716  0.2211  0.4882  4 Ge 2.71-2.78
Ge  0.0889  0.0000  0.5202  4 Sc 2.71-2.78, 1 Ge 2.75, 1 Na 2.98
Ge  0.1703  0.5000  0.5205  4 Sc 2.71-2.78, 1 Ge 2.75, 1 Na 3.01

- ΔE_f: -4.69 kcal/mol of atoms

=====

Entry 4:
NaScGe: optimized geometry, PBE-GGA.

a = 3.5927 Å, b = 4.3454 Å, c = 16.5331 Å
α = 90.00°, β = 90.00°, γ = 90.00°
With the nearest neighbours (Å) after each atom.
Space group Immm (No. 71)
Asymmetric unit:
Na  0.0000  0.0000  0.0000  4 Na 2.82, 4 Ge 3.03
Na  0.0000  0.0000  0.5000  4 Na 2.82
Sc  0.0000  0.5000  0.1850  5 Ge 2.76-2.89
Ge  0.0000  0.5000  0.3522  5 Sc 2.76-2.89, 2 Na 3.03

- ΔE_f: -7.13 kcal/mol of atoms

=====

Entry 5:
NaScGe: optimized geometry, PBE-GGA.

a = 4.0191 Å, b = 3.7457 Å, c = 10.4854 Å
α = 90.00°, β = 101.01°, γ = 90.00°
With the nearest neighbours (Å) after each atom.
Space group P2_1 (No. 4)
Asymmetric unit:
Na  0.1928  0.0000  0.3861  1 Ge 2.98
Sc  0.4366  0.0021  0.8733  6 Ge 2.76-3.05
Ge  0.0481  0.0021  0.0966  2 Ge 2.73, 6 Sc 2.76-3.05, 1 Na 2.98

- ΔE_f: -7.56 kcal/mol of atoms

=====

Entry 6:
NaScGe: optimized geometry, PBE-GGA.

a = 4.6888 Å, b = 8.0836 Å, c = 6.5406 Å
α = 90.00°, β = 90.00°, γ = 90.00°
With the nearest neighbours (Å) after each atom.
Space group Cmcm (No. 63)
Asymmetric unit:
Na  0.0000  0.1659  0.2500  3 Ge 2.70
Sc  0.0000  0.5000  0.0000  6 Ge 3.14-3.16, 6 Na 3.16, 2 Sc 3.27
Ge  0.0000  0.1681  0.7500  3 Na 2.70

- ΔE_f: -3.72 kcal/mol of atoms

=====

Entry 7:
NaScGe3: optimized geometry, PBE-GGA.

a = 5.1735 Å, b = 5.1735 Å, c = 5.1735 Å
α = 90.00°, β = 90.00°, γ = 90.00°
With the nearest neighbours (Å) after each atom.
Space group Pm-3m (No. 221)
Asymmetric unit:
Na  0.0000  0.0000  0.0000  12 Ge 3.66
Sc  0.5000  0.5000  0.5000  6 Ge 2.59
Ge  0.0000  0.5000  0.5000  2 Sc 2.59

- ΔE_f: 4.96 kcal/mol of atoms
- Polymorph energy (0 for the lowest one): 0 meV per atom

=====

Entry 8:
NaSc3Ge: optimized geometry, PBE-GGA.

a = 5.0393 Å, b = 5.0393 Å, c = 5.0393 Å
α = 90.00°, β = 90.00°, γ = 90.00°
With the nearest neighbours (Å) after each atom.
Space group Pm-3m (No. 221)
Asymmetric unit:
Na  0.0000  0.0000  0.0000  6 Sc 2.52
Sc  0.0000  0.0000  0.5000  2 Na 2.52
Ge  0.5000  0.5000  0.5000  12 Sc 3.56

- ΔE_f: 22.62 kcal/mol of atoms
- Polymorph energy (0 for the lowest one): 893 meV per atom

=====

Entry 9:
NaScGe: optimized geometry, PBE-GGA.

a = 3.7382 Å, b = 3.7382 Å, c = 23.8091 Å
α = 90.00°, β = 90.00°, γ = 90.00°
With the nearest neighbours (Å) after each atom.
Space group I4/mmm (No. 139)
Asymmetric unit:
Na  0.0000  0.0000  0.0766  1 Sc 3.13, 4 Ge 3.50
Sc  0.0000  0.0000  0.2079  5 Ge 2.77-2.84
Ge  0.0000  0.0000  0.3273  5 Sc 2.77-2.84

- ΔE_f: -6.93 kcal/mol of atoms

=====

Entry 10:
Na2ScGeSe4: optimized geometry, PBE-GGA.

a = 8.0004 Å, b = 8.0933 Å, c = 11.4140 Å
α = 90.00°, β = 90.00°, γ = 90.00°
With the nearest neighbours (Å) after each atom.
Space group Imma (No. 74)
Asymmetric unit:
Na  0.0000  0.0000  0.0000  6 Se 2.95-2.98
Na  0.2500  0.2500  0.2500  6 Se 2.96-2.99
Sc  0.0000  0.0000  0.5000  6 Se 2.73-2.75
Ge  0.2500  0.2500  0.7500  6 Se 2.72-2.74
Se  0.0000  0.0191  0.7389  1 Sc 2.73, 2 Ge 2.74, 3 Na 2.96-2.98
Se  0.2324  0.2500  0.5118  1 Ge 2.72, 2 Sc 2.75, 3 Na 2.95-2.99

- Formation energy (no corrections): -8.3 eV per formula unit

=====

Entry 11:
Na4Sc3GeSe8: optimized geometry, PBE-GGA.

a = 7.8953 Å, b = 7.8953 Å, c = 20.8374 Å
α = 90.00°, β = 90.00°, γ = 120.00°
With the nearest neighbours (Å) after each atom.
Space group R-3m (No. 166, hexagonal axes)
Asymmetric unit:
Na  0.0000  0.0000  0.0000  6 Se 3.03
Na  0.0000  0.5000  0.0000  6 Se 3.00-3.01
Sc  0.0000  0.5000  0.5000  6 Se 2.73-2.74
Ge  0.0000  0.0000  0.5000  6 Se 2.71
Se  0.0000  0.0000  0.2399  3 Sc 2.74, 3 Na 3.00
Se  0.0018  0.5009  0.2383  1 Ge 2.71, 2 Sc 2.73, 3 Na 3.01-3.03

- Formation energy (no corrections): -21.1 eV per formula unit

=====

Entry 12:
Na2ScTaGe: optimized geometry, PBE-GGA.

a = 5.2685 Å, b = 5.2685 Å, c = 4.9031 Å
α = 90.00°, β = 90.00°, γ = 90.00°
With the nearest neighbours (Å) after each atom.
Space group P4/mmm (No. 123)
Asymmetric unit:
Na  0.0000  0.5000  0.0000  2 Sc 2.63
Sc  0.0000  0.0000  0.0000  2 Ta 2.45, 4 Na 2.63
Ta  0.0000  0.0000  0.5000  2 Sc 2.45
Ge  0.5000  0.5000  0.5000  8 Na 3.60, 4 Ta 3.73

- ΔE_f: 34.28 kcal/mol of atoms

=====

Entry 13:
NaZrSc2Ge: optimized geometry, PBE-GGA.

a = 5.1239 Å, b = 5.1239 Å, c = 5.3696 Å
α = 90.00°, β = 90.00°, γ = 90.00°
With the nearest neighbours (Å) after each atom.
Space group P4/mmm (No. 123)
Asymmetric unit:
Na  0.0000  0.0000  0.0000  2 Zr 2.68
Zr  0.0000  0.0000  0.5000  4 Sc 2.56, 2 Na 2.68
Sc  0.0000  0.5000  0.5000  2 Zr 2.56
Ge  0.5000  0.5000  0.0000  4 Na 3.62, 8 Sc 3.71

- ΔE_f: 24.13 kcal/mol of atoms

=====

Entry 14:
Na3Ge5Se12: optimized geometry, PBE-GGA.

a = 16.0154 Å, b = 16.0154 Å, c = 16.0154 Å
α = 90.00°, β = 90.00°, γ = 90.00°
With the nearest neighbours (Å) after each atom.
Space group Ia-3d (No. 230)
Asymmetric unit:
Na  0.0000  0.2500  0.1250  8 Se 3.06-3.12
Ge  0.0000  0.0000  0.0000  6 Se 2.61
Ge  0.0000  0.2500  0.3750  4 Se 2.43
Se  0.0272  0.0585  0.6500  2 Ge 2.43-2.61

- Formation energy (no corrections): -6.3 eV per formula unit

=====

Entry 15:
Na4GeSe5: optimized geometry, PBE-GGA.

a = 9.2259 Å, b = 9.2259 Å, c = 6.2264 Å
α = 90.00°, β = 90.00°, γ = 90.00°
With the nearest neighbours (Å) after each atom.
Space group I4 (No. 79)
Asymmetric unit:
Na  0.0856  0.7043  0.0000  4 Se 2.85-3.16
Ge  0.0000  0.0000  0.5903  5 Se 2.37-2.50
Se  0.0000  0.0000  0.9705  1 Ge 2.37
Se  0.0756  0.7493  0.4896  1 Ge 2.50

- Formation energy (no corrections): -6.0 eV per formula unit

=====

Entry 16:
Na2Ge3Se8: optimized geometry, PBE-GGA.

a = 15.2815 Å, b = 7.0017 Å, c = 6.6018 Å
α = 90.00°, β = 106.36°, γ = 90.00°
With the nearest neighbours (Å) after each atom.
Space group C2/m (No. 12)
Asymmetric unit:
Na  0.2440  0.0000  0.1819  6 Se 3.04-3.10
Ge  0.0000  0.2471  0.5000  6 Se 2.51-2.58
Ge  0.0000  0.5000  0.0000  6 Se 2.57-2.64
Se  0.1016  0.2548  0.8856  2 Ge 2.57-2.58
Se  0.1026  0.5000  0.3957  3 Ge 2.58-2.64
Se  0.1094  0.0000  0.4437  2 Ge 2.51

- Formation energy (no corrections): -3.3 eV per formula unit

=====

Entry 17:
Na2GeSe5: optimized geometry, PBE-GGA.

a = 10.0288 Å, b = 7.6667 Å, c = 6.1720 Å
α = 90.00°, β = 126.66°, γ = 90.00°
With the nearest neighbours (Å) after each atom.
Space group Cm (No. 8)
Asymmetric unit:
Na  0.0000  0.0000  0.0000  2 Na 3.09, 8 Se 3.12-3.26
Na  0.0086  0.0000  0.5082  2 Na 3.09, 8 Se 3.13-3.22
Ge  0.4639  0.0000  0.6814  2 Se 2.49
Se  0.2577  0.2519  0.0131  1 Se 2.46
Se  0.2649  0.2472  0.5135  1 Ge 2.49
Se  0.4476  0.0000  0.2059  2 Se 2.46

- Formation energy (no corrections): -3.2 eV per formula unit

=====

Entry 18:
NaGe6Se8: optimized geometry, PBE-GGA.

a = 9.7503 Å, b = 9.7503 Å, c = 14.4534 Å
α = 90.00°, β = 90.00°, γ = 120.00°
With the nearest neighbours (Å) after each atom.
Space group R-3 (No. 148, hexagonal axes)
Asymmetric unit:
Na  0.0000  0.0000  0.0000  6 Se 3.12
Ge  0.0243  0.2407  0.6151  3 Se 2.53-2.58
Se  0.0000  0.0000  0.2960  3 Ge 2.58
Se  0.0187  0.2959  0.0949  2 Ge 2.53

- Formation energy (no corrections): -3.3 eV per formula unit

=====

Entry 19:
Na3GeSe4: optimized geometry, PBE-GGA.

a = 11.6436 Å, b = 6.0941 Å, c = 6.0667 Å
α = 90.00°, β = 90.00°, γ = 90.00°
With the nearest neighbours (Å) after each atom.
Space group Pmn2_1 (No. 31)
Asymmetric unit:
Na  0.0000  0.2127  0.0000  4 Se 3.04-3.07
Na  0.2489  0.2698  0.5619  6 Se 2.92-3.17
Ge  0.0000  0.6444  0.4322  4 Se 2.37-2.40
Se  0.0000  0.2605  0.4991  1 Ge 2.37
Se  0.0000  0.7149  0.0471  1 Ge 2.38
Se  0.1820  0.7737  0.5652  1 Ge 2.40

- Polymorph energy (0 for the lowest one): 4 meV per atom
- Formation energy (no corrections): -5.5 eV per formula unit

=====

Entry 20:
Na3Ge2Se4: optimized geometry, PBE-GGA.

a = 12.7273 Å, b = 9.7709 Å, c = 8.1532 Å
α = 90.00°, β = 90.69°, γ = 90.00°
With the nearest neighbours (Å) after each atom.
Space group C2/c (No. 15)
Asymmetric unit:
Na  0.0000  0.1054  0.2500  6 Se 2.93-3.24
Na  0.1270  0.3736  0.0424  5 Se 2.96-3.20
Ge  0.1814  0.1299  0.6063  4 Se 2.53-2.72
Se  0.1213  0.3429  0.4110  2 Ge 2.53-2.72
Se  0.1440  0.0784  0.9272  2 Ge 2.55-2.71

- Polymorph energy (0 for the lowest one): 26 meV per atom
- Formation energy (no corrections): -5.8 eV per formula unit

=====

| no. | total DFT energy (no corrections) (eV/atom) | volume (Å³ per atom) |
| --- | --- | --- |
| 1 | -4.3881 | 23.69 |
| 2 | -4.2080 | 22.95 |
| 3 | -4.2928 | 26.98 |
| 4 | -4.3985 | 21.51 |
| 5 | -4.4173 | 25.82 |
| 6 | -4.2505 | 20.66 |
| 7 | -4.0855 | 27.69 |
| 8 | -4.0052 | 25.59 |
| 9 | -4.3897 | 27.73 |
| 10 | -4.4806 | 23.10 |
| 11 | -4.8683 | 23.43 |
| 12 | -3.6014 | 27.22 |
| 13 | -4.3830 | 28.20 |
| 14 | -3.7598 | 25.67 |
| 15 | -3.3285 | 26.50 |
| 16 | -3.6643 | 26.07 |
| 17 | -3.4811 | 23.79 |
| 18 | -4.0148 | 26.44 |
| 19 | -3.5071 | 26.90 |
| 20 | -3.6629 | 28.16 |